No. 1
# PBEsol CrMo, relaxed
data_CrMo
_chemical_formula_sum 'Cr2 Mo2'
_space_group_name_H-M_alt 'P 1 21/m 1'
_space_group_IT_number 11
_cell_length_a 2.6115
_cell_length_b 4.2106
_cell_length_c 4.9281
_cell_angle_alpha 90.00
_cell_angle_beta 100.18
_cell_angle_gamma 90.00
loop_
_space_group_symop_operation_xyz
'x,y,z'
'-x,-y,-z'
'-x,y+1/2,-z'
'x,-y+1/2,z'
loop_
_atom_site_label
_atom_site_type_symbol
_atom_site_fract_x
_atom_site_fract_y
_atom_site_fract_z
Cr1 Cr 0.1288 0.2500 0.3782
Mo1 Mo 0.3770 0.7500 0.1360
# ρ ... 9.21 g/cm³
# Total moment ... 0.00 μB per formula unit
# Fermi-level density of states ... 2.9 states/eV per cell
# ΔE_f ... 0.10 eV per atom

***

No. 2
# PBEsol Cr3Mo, relaxed
data_Cr3Mo
_chemical_formula_sum 'Cr6 Mo2'
_space_group_name_H-M_alt 'I m m m'
_space_group_IT_number 71
_space_group_name_Hall '-I 2 2'
_cell_length_a 2.9091
_cell_length_b 4.1134
_cell_length_c 8.1901
_cell_angle_alpha 90.00
_cell_angle_beta 90.00
_cell_angle_gamma 90.00
loop_
_atom_site_label
_atom_site_type_symbol
_atom_site_fract_x
_atom_site_fract_y
_atom_site_fract_z
Cr1 Cr 0.0000 0.0000 0.0000
Cr2 Cr 0.0000 0.5000 0.2531
Mo1 Mo 0.0000 0.0000 0.5000
# ρ ... 8.54 g/cm³
# Total moment ... 0.00 μB per formula unit
# Fermi-level density of states ... 5.6 states/eV per cell
# ΔE_f ... 0.08 eV per atom

***

No. 3
# PBEsol Cr2Mo, relaxed
data_Cr2Mo
_chemical_formula_sum 'Cr4 Mo2'
_space_group_name_H-M_alt 'I 4/m m m'
_space_group_IT_number 139
_space_group_name_Hall '-I 4 2'
_cell_length_a 2.9319
_cell_length_b 2.9319
_cell_length_c 8.7795
_cell_angle_alpha 90.00
_cell_angle_beta 90.00
_cell_angle_gamma 90.00
loop_
_atom_site_label
_atom_site_type_symbol
_atom_site_fract_x
_atom_site_fract_y
_atom_site_fract_z
Cr1 Cr 0.0000 0.0000 0.1718
Mo1 Mo 0.0000 0.0000 0.5000
# ρ ... 8.80 g/cm³
# Total moment ... 0.00 μB per formula unit
# Fermi-level density of states ... 4.3 states/eV per cell
# ΔE_f ... 0.08 eV per atom
# Relative energy among the computed polymorphs ... 4 meV/atom

***

No. 4
# PBEsol Cr3Mo, relaxed
data_Cr3Mo
_chemical_formula_sum 'Cr3 Mo1'
_space_group_name_H-M_alt 'P 1 2/m 1'
_space_group_IT_number 10
_cell_length_a 2.5385
_cell_length_b 4.0771
_cell_length_c 4.8147
_cell_angle_alpha 90.00
_cell_angle_beta 100.11
_cell_angle_gamma 90.00
loop_
_space_group_symop_operation_xyz
'x,y,z'
'-x,-y,-z'
'-x,y,-z'
'x,-y,z'
loop_
_atom_site_label
_atom_site_type_symbol
_atom_site_fract_x
_atom_site_fract_y
_atom_site_fract_z
Cr1 Cr 0.0000 0.0000 0.0000
Cr2 Cr 0.2566 0.5000 0.7618
Mo1 Mo 0.5000 0.0000 0.5000
# ρ ... 8.53 g/cm³
# Total moment ... 0.00 μB per formula unit
# Fermi-level density of states ... 2.9 states/eV per cell
# ΔE_f ... 0.09 eV per atom

***

No. 5
# PBEsol Cr2Mo, relaxed
data_Cr2Mo
_chemical_formula_sum 'Cr8 Mo4'
_space_group_name_H-M_alt 'F m m m'
_space_group_IT_number 69
_space_group_name_Hall '-F 2 2'
_cell_length_a 2.9472
_cell_length_b 4.1966
_cell_length_c 12.2624
_cell_angle_alpha 90.00
_cell_angle_beta 90.00
_cell_angle_gamma 90.00
loop_
_atom_site_label
_atom_site_type_symbol
_atom_site_fract_x
_atom_site_fract_y
_atom_site_fract_z
Cr1 Cr 0.0000 0.0000 0.1738
Mo1 Mo 0.0000 0.0000 0.5000
# ρ ... 8.76 g/cm³
# Total moment ... 0.00 μB per formula unit
# Fermi-level density of states ... 7.9 states/eV per cell
# ΔE_f ... 0.10 eV per atom
# Relative energy among the computed polymorphs ... 25 meV/atom

***

No. 6
# PBEsol CrMo, relaxed
data_CrMo
_chemical_formula_sum 'Cr4 Mo4'
_space_group_name_H-M_alt 'I m m a'
_space_group_IT_number 74
_space_group_name_Hall '-I 2b 2'
_cell_length_a 2.9876
_cell_length_b 4.2100
_cell_length_c 8.4609
_cell_angle_alpha 90.00
_cell_angle_beta 90.00
_cell_angle_gamma 90.00
loop_
_atom_site_label
_atom_site_type_symbol
_atom_site_fract_x
_atom_site_fract_y
_atom_site_fract_z
Cr1 Cr 0.0000 0.2500 0.1272
Mo1 Mo 0.0000 0.2500 0.6223
# ρ ... 9.23 g/cm³
# Total moment ... 0.00 μB per formula unit
# Fermi-level density of states ... 5.4 states/eV per cell
# ΔE_f ... 0.09 eV per atom

***

No. 7
# PBEsol CrMo5, relaxed
data_CrMo5
_chemical_formula_sum 'Cr2 Mo10'
_space_group_name_H-M_alt 'C m m m'
_space_group_IT_number 65
_space_group_name_Hall '-C 2 2'
_cell_length_a 3.0900
_cell_length_b 13.0679
_cell_length_c 4.3565
_cell_angle_alpha 90.00
_cell_angle_beta 90.00
_cell_angle_gamma 90.00
loop_
_atom_site_label
_atom_site_type_symbol
_atom_site_fract_x
_atom_site_fract_y
_atom_site_fract_z
Cr1 Cr 0.0000 0.0000 0.0000
Mo1 Mo 0.0000 0.1647 0.5000
Mo2 Mo 0.0000 0.3368 0.0000
Mo3 Mo 0.0000 0.5000 0.5000
# ρ ... 10.04 g/cm³
# Total moment ... 0.00 μB per formula unit
# Fermi-level density of states ... 6.9 states/eV per cell
# ΔE_f ... 0.05 eV per atom

***

No. 8
# PBEsol Cr3Mo, relaxed
data_Cr3Mo
_chemical_formula_sum 'Cr6 Mo2'
_space_group_name_H-M_alt 'C m m m'
_space_group_IT_number 65
_space_group_name_Hall '-C 2 2'
_cell_length_a 2.9171
_cell_length_b 4.1561
_cell_length_c 8.1019
_cell_angle_alpha 90.00
_cell_angle_beta 90.00
_cell_angle_gamma 90.00
loop_
_atom_site_label
_atom_site_type_symbol
_atom_site_fract_x
_atom_site_fract_y
_atom_site_fract_z
Cr1 Cr 0.0000 0.0000 0.0000
Cr2 Cr 0.0000 0.5000 0.2351
Mo1 Mo 0.0000 0.0000 0.5000
# ρ ... 8.52 g/cm³
# Total moment ... 0.00 μB per formula unit
# Fermi-level density of states ... 5.4 states/eV per cell
# ΔE_f ... 0.10 eV per atom

***

No. 9
# PBEsol CrMo, relaxed
data_CrMo
_chemical_formula_sum 'Cr8 Mo8'
_space_group_name_H-M_alt 'P -1'
_space_group_IT_number 2
_cell_length_a 4.9506
_cell_length_b 5.1962
_cell_length_c 8.8063
_cell_angle_alpha 72.88
_cell_angle_beta 87.21
_cell_angle_gamma 79.95
loop_
_space_group_symop_operation_xyz
'x,y,z'
'-x,-y,-z'
loop_
_atom_site_label
_atom_site_type_symbol
_atom_site_fract_x
_atom_site_fract_y
_atom_site_fract_z
Cr1 Cr 0.1201 0.2608 0.1169
Cr2 Cr 0.1222 0.9951 0.6311
Cr3 Cr 0.1226 0.7479 0.1178
Cr4 Cr 0.3707 0.4989 0.8837
Mo1 Mo 0.1244 0.5010 0.6328
Mo2 Mo 0.3667 0.9933 0.8804
Mo3 Mo 0.3677 0.7571 0.3680
Mo4 Mo 0.3741 0.2510 0.3685
# ρ ... 9.22 g/cm³
# Total moment ... 0.00 μB per formula unit
# Fermi-level density of states ... 11.7 states/eV per cell
# ΔE_f ... 0.10 eV per atom

***

No. 10
# PBEsol Cr5Mo, relaxed
data_Cr5Mo
_chemical_formula_sum 'Cr10 Mo2'
_space_group_name_H-M_alt 'C 1 2/m 1'
_space_group_IT_number 12
_cell_length_a 9.0634
_cell_length_b 2.8778
_cell_length_c 5.7559
_cell_angle_alpha 90.00
_cell_angle_beta 108.40
_cell_angle_gamma 90.00
loop_
_space_group_symop_operation_xyz
'x,y,z'
'-x,-y,-z'
'-x,y,-z'
'x,-y,z'
'x+1/2,y+1/2,z'
'-x+1/2,-y+1/2,-z'
'-x+1/2,y+1/2,-z'
'x+1/2,-y+1/2,z'
loop_
_atom_site_label
_atom_site_type_symbol
_atom_site_fract_x
_atom_site_fract_y
_atom_site_fract_z
Cr1 Cr 0.0000 0.0000 0.0000
Cr2 Cr 0.1673 0.5000 0.3263
Cr3 Cr 0.1713 0.5000 0.8417
Mo1 Mo 0.0000 0.0000 0.5000
# ρ ... 8.30 g/cm³
# Total moment ... 0.00 μB per formula unit
# Fermi-level density of states ... 8.2 states/eV per cell
# ΔE_f ... 0.06 eV per atom
# Relative energy among the computed polymorphs ... 2 meV/atom

***

No. 11
# PBEsol CrMo, relaxed
data_CrMo
_chemical_formula_sum 'Cr4 Mo4'
_space_group_name_H-M_alt 'C m m e'
_space_group_IT_number 67
_space_group_name_Hall '-C 2a 2'
_cell_length_a 3.0013
_cell_length_b 4.2694
_cell_length_c 8.3233
_cell_angle_alpha 90.00
_cell_angle_beta 90.00
_cell_angle_gamma 90.00
loop_
_atom_site_label
_atom_site_type_symbol
_atom_site_fract_x
_atom_site_fract_y
_atom_site_fract_z
Cr1 Cr 0.0000 0.2500 0.1105
Mo1 Mo 0.0000 0.2500 0.6380
# ρ ... 9.21 g/cm³
# Total moment ... 0.00 μB per formula unit
# Fermi-level density of states ... 5.7 states/eV per cell
# ΔE_f ... 0.10 eV per atom

***

No. 12
# PBEsol Cr4Mo, relaxed
data_Cr4Mo
_chemical_formula_sum 'Cr8 Mo2'
_space_group_name_H-M_alt 'I 4/m'
_space_group_IT_number 87
_space_group_name_Hall '-I 4'
_cell_length_a 6.4500
_cell_length_b 6.4500
_cell_length_c 2.8892
_cell_angle_alpha 90.00
_cell_angle_beta 90.00
_cell_angle_gamma 90.00
loop_
_atom_site_label
_atom_site_type_symbol
_atom_site_fract_x
_atom_site_fract_y
_atom_site_fract_z
Cr1 Cr 0.0989 0.3061 0.0000
Mo1 Mo 0.0000 0.0000 0.5000
# ρ ... 8.40 g/cm³
# Total moment ... 0.00 μB per formula unit
# Fermi-level density of states ... 6.6 states/eV per cell
# ΔE_f ... 0.07 eV per atom
# Relative energy among the computed polymorphs ... 0 meV/atom

***

> Look up the total moment of the fifth one.

0.00 μB per formula unit

***

Please write out number 6 again, unchanged.
# PBEsol CrMo, relaxed
data_CrMo
_chemical_formula_sum 'Cr4 Mo4'
_space_group_name_H-M_alt 'I m m a'
_space_group_IT_number 74
_space_group_name_Hall '-I 2b 2'
_cell_length_a 2.9876
_cell_length_b 4.2100
_cell_length_c 8.4609
_cell_angle_alpha 90.00
_cell_angle_beta 90.00
_cell_angle_gamma 90.00
loop_
_atom_site_label
_atom_site_type_symbol
_atom_site_fract_x
_atom_site_fract_y
_atom_site_fract_z
Cr1 Cr 0.0000 0.2500 0.1272
Mo1 Mo 0.0000 0.2500 0.6223
# ρ ... 9.23 g/cm³
# Total moment ... 0.00 μB per formula unit
# Fermi-level density of states ... 5.4 states/eV per cell
# ΔE_f ... 0.09 eV per atom